(1)
TbDy3Fe4Co4: optimized geometry, GGA-PBE.

Summary:
**Energy of formation from the pure elements**: -161 meV/atom
**Uncorrected energy**: -6.89 eV per atom
**SG**: No. 8

abc: 5.0901 5.0901 8.7339
angles: 105.86 105.86 62.17
Element x y z (fractional)
Tb1 0.0000 0.0000 0.0000
Dy1 0.1259 0.1259 0.3745
Dy2 0.5001 0.5001 0.4999
Dy3 0.6258 0.6258 0.8742
Fe1 0.0630 0.0630 0.6868
Fe2 0.3130 0.3130 0.9371
Fe3 0.5632 0.5632 0.1876
Fe4 0.8130 0.8130 0.4372
Co1 0.0633 0.5630 0.1876
Co2 0.0630 0.5625 0.6867
Co3 0.5630 0.0633 0.1876
Co4 0.5625 0.0630 0.6867

***

(2)
DyTmFeCo: optimized geometry, GGA-PBE.

Summary:
**Energy of formation from the pure elements**: 15 meV/atom
**Uncorrected energy**: -6.15 eV per atom
**SG**: No. 216

abc: 4.6674 4.6674 4.6674
angles: 60.00 60.00 60.00
Element x y z (fractional)
Dy1 0.0000 0.0000 0.0000
Tm1 0.5000 0.5000 0.5000
Fe1 0.7500 0.7500 0.7500
Co1 0.2500 0.2500 0.2500

***

(3)
DyV2Fe5Co5: optimized geometry, GGA-PBE.

Summary:
**Energy of formation from the pure elements**: -88 meV/atom
**Uncorrected energy**: -7.83 eV per atom
**SG**: No. 44

abc: 6.3708 6.3708 6.3708
angles: 137.15 97.89 97.45
Element x y z (fractional)
Dy1 0.0000 0.0000 0.0000
V1 0.3593 0.3593 0.0000
V2 0.6440 0.6440 0.0000
Fe1 0.0002 0.0017 0.4992
Fe2 0.0002 0.5010 0.9984
Fe3 0.2250 0.7250 0.5000
Fe4 0.5025 0.0017 0.0016
Fe5 0.5025 0.5010 0.5008
Co1 0.2277 0.5019 0.7258
Co2 0.3590 0.0002 0.3588
Co3 0.6413 0.0002 0.6412
Co4 0.7760 0.5019 0.2742
Co5 0.7782 0.2782 0.5000

***

(4)
Dy2ZnFe2Co5: optimized geometry, GGA-PBE.

Summary:
**Energy of formation from the pure elements**: 9 meV/atom
**Uncorrected energy**: -6.28 eV per atom
**SG**: No. 127

abc: 8.8561 8.8561 3.7150
angles: 90.00 90.00 90.00
Element x y z (fractional)
Dy1 0.1846 0.3154 0.0000
Dy2 0.3154 0.8154 0.0000
Dy3 0.6846 0.1846 0.0000
Dy4 0.8154 0.6846 0.0000
Zn1 0.0000 0.0000 0.0000
Zn2 0.5000 0.5000 0.0000
Fe1 0.1123 0.6123 0.0000
Fe2 0.3877 0.1123 0.0000
Fe3 0.6123 0.8877 0.0000
Fe4 0.8877 0.3877 0.0000
Co1 0.0000 0.5000 0.5000
Co2 0.0569 0.7928 0.5000
Co3 0.2072 0.0569 0.5000
Co4 0.2928 0.5569 0.5000
Co5 0.4431 0.2928 0.5000
Co6 0.5000 0.0000 0.5000
Co7 0.5569 0.7072 0.5000
Co8 0.7072 0.4431 0.5000
Co9 0.7928 0.9431 0.5000
Co10 0.9431 0.2072 0.5000